Crystalline Li3Pd2Au3 at its relaxed geometry, computed with PBE.

The formation enthalpy at 0 K is -0.44 eV per atom. As for the crystal system: triclinic. The calculation puts the total energy at -3.688 eV/atom. The value obtained for the total moment is 0.00 μB per formula unit.

Structure (CIF):
```
data_Li3Pd2Au3
_chemical_formula_sum 'Li3 Pd2 Au3'
_cell_length_a 3.808
_cell_length_b 4.076
_cell_length_c 8.485
_cell_angle_alpha 76.26
_cell_angle_beta 77.10
_cell_angle_gamma 89.99
_space_group_name_H-M_alt 'P -1'
_space_group_IT_number 2
loop_
_space_group_symop_operation_xyz
'x,y,z'
'-x,-y,-z'
loop_
_atom_site_label
_atom_site_type_symbol
_atom_site_fract_x
_atom_site_fract_y
_atom_site_fract_z
Li1 Li 0.000 0.000 0.000
Li2 Li 0.134 0.635 0.733
Pd1 Pd 0.253 0.253 0.493
Au1 Au 0.376 0.875 0.248
Au2 Au 0.500 0.500 0.000
```